one | Material: In8Sn3Hg2
Method: DFT, GGA-PBE
State: relaxed

a = 5.1246 Å, b = 9.2737 Å, c = 9.3220 Å
α = 119.83°, β = 105.71°, γ = 89.99°
Atoms (fractional coordinates):
In: 0.3086 0.0931 0.6847
In: 0.6914 0.9069 0.3153
In: 0.3085 0.5917 0.6847
Hg: 0.8727 0.2921 0.5842
In: 0.6885 0.4460 0.8920
Sn: 0.5000 0.0000 0.0000
Hg: 0.1273 0.7079 0.4158
In: 0.7615 0.8306 0.6612
Sn: 0.0000 0.7952 0.0000
In: 0.6915 0.4083 0.3153
In: 0.3115 0.5540 0.1080
In: 0.2385 0.1694 0.3388
Sn: 0.0000 0.2048 0.0000

Output
Total moment in μB per formula unit: 0.00
D(E_F) in states/eV/f.u.: 6.10

two | Material: In8Sn3Hg2
Method: DFT, GGA-PBE
State: relaxed

a = 7.1440 Å, b = 9.0780 Å, c = 7.4601 Å
α = 127.48°, β = 98.74°, γ = 90.00°
Atoms (fractional coordinates):
In: 0.7714 0.6212 0.2424
In: 0.5691 0.1691 0.7514
In: 0.7958 0.2332 0.4665
In: 0.4309 0.8309 0.2486
In: 0.2286 0.3788 0.7576
In: 0.4309 0.4177 0.2486
Sn: 0.5000 0.0000 0.0000
Hg: 0.8510 0.8774 0.7549
Sn: 0.0000 0.2906 0.0000
Hg: 0.1490 0.1226 0.2451
Sn: 0.0000 0.7094 0.0000
In: 0.2042 0.7668 0.5335
In: 0.5691 0.5823 0.7514

Output
Total moment in μB per formula unit: 0.00
D(E_F) in states/eV/f.u.: 5.11

Which structure loses on stability? two does.

one | Material: InSn2Hg4
Method: DFT, GGA-PBE
State: relaxed

a = 4.7075 Å, b = 5.5485 Å, c = 9.0989 Å
α = 89.83°, β = 90.00°, γ = 115.10°
Atoms (fractional coordinates):
Hg: 0.3417 0.6835 0.6719
Sn: 0.3408 0.6815 0.9983
In: 0.0000 0.0000 0.5000
Hg: 0.6583 0.3165 0.3281
Hg: 0.6521 0.3041 0.6761
Sn: 0.6592 0.3185 0.0017
Hg: 0.3479 0.6959 0.3239

Output
Total moment in μB per formula unit: 0.00
D(E_F) in states/eV/f.u.: 2.28

two | Material: InSn2Hg4
Method: DFT, GGA-PBE
State: relaxed

a = 5.6787 Å, b = 5.6787 Å, c = 8.4160 Å
α = 70.28°, β = 70.28°, γ = 90.00°
Atoms (fractional coordinates):
Hg: 0.0000 0.5000 0.0000
Sn: 0.3974 0.3974 0.2052
Hg: 0.8005 0.8005 0.3989
In: 0.0000 0.0000 0.0000
Hg: 0.5000 0.0000 0.0000
Hg: 0.1995 0.1995 0.6011
Sn: 0.6026 0.6026 0.7948

Output
Total moment in μB per formula unit: 0.00
D(E_F) in states/eV/f.u.: 3.36

Which structure loses on stability? two does.

one | Material: InSnHg4
Method: DFT, GGA-PBE
State: relaxed

a = 3.3125 Å, b = 8.6530 Å, c = 11.3352 Å
α = 90.00°, β = 90.00°, γ = 101.03°
Atoms (fractional coordinates):
Hg: 0.6755 0.3509 0.2607
Hg: 0.9874 0.9747 0.7715
In: 0.3435 0.6871 0.2716
Hg: 0.4270 0.8539 0.5218
Hg: 0.5730 0.1461 0.0217
Sn: 0.2459 0.4917 0.0109
Hg: 0.9100 0.8201 0.0246
Sn: 0.7541 0.5083 0.5109
Hg: 0.0126 0.0253 0.2715
In: 0.6565 0.3129 0.7716
Hg: 0.0900 0.1799 0.5246
Hg: 0.3245 0.6491 0.7607

Output
Total moment in μB per formula unit: 0.00
D(E_F) in states/eV/f.u.: 1.78

two | Material: InSnHg4
Method: DFT, GGA-PBE
State: relaxed

a = 3.1407 Å, b = 3.6857 Å, c = 16.4174 Å
α = 90.00°, β = 59.48°, γ = 90.00°
Atoms (fractional coordinates):
Hg: 0.3976 0.0000 0.3438
Hg: 0.9695 0.5000 0.1745
Hg: 0.0305 0.5000 0.8255
Hg: 0.6024 0.0000 0.6562
Sn: 0.5000 0.0000 0.0000
In: 0.5000 0.5000 0.5000

Output
Total moment in μB per formula unit: 0.00
D(E_F) in states/eV/f.u.: 1.98

Which structure loses on stability? one does.

one | Material: InSn3Hg
Method: DFT, GGA-PBE
State: relaxed

a = 5.1634 Å, b = 7.0301 Å, c = 8.7290 Å
α = 83.10°, β = 90.00°, γ = 111.54°
Atoms (fractional coordinates):
In: 0.6171 0.2343 0.3060
Sn: 0.3551 0.7102 0.2877
Sn: 0.9874 0.9747 0.8096
Sn: 0.8637 0.7274 0.5059
Hg: 0.7960 0.5919 0.0581
Hg: 0.2040 0.4081 0.9419
Sn: 0.6449 0.2898 0.7123
Sn: 0.0126 0.0253 0.1904
In: 0.3829 0.7657 0.6940
Sn: 0.1363 0.2726 0.4941

Output
Total moment in μB per formula unit: 0.00
D(E_F) in states/eV/f.u.: 1.64

two | Material: InSn3Hg
Method: DFT, GGA-PBE
State: relaxed

a = 5.6065 Å, b = 5.6065 Å, c = 5.6065 Å
α = 90.00°, β = 90.00°, γ = 90.00°
Atoms (fractional coordinates):
Sn: 0.0000 0.0000 0.5000
In: 0.5000 0.5000 0.5000
Hg: 0.0000 0.0000 0.0000
Sn: 0.5000 0.0000 0.0000
Sn: 0.0000 0.5000 0.0000

Output
Total moment in μB per formula unit: 0.00
D(E_F) in states/eV/f.u.: 4.79

Which structure loses on stability? two does.

one | Material: In3SnHg3
Method: DFT, GGA-PBE
State: relaxed

a = 6.6517 Å, b = 6.6517 Å, c = 11.0121 Å
α = 72.42°, β = 72.42°, γ = 60.00°
Atoms (fractional coordinates):
Sn: 0.6948 0.6948 0.9156
In: 0.7902 0.2653 0.1544
Hg: 0.6397 0.1094 0.6112
In: 0.2099 0.2098 0.8456
In: 0.2098 0.7347 0.8456
In: 0.2653 0.7901 0.1544
Hg: 0.1094 0.6396 0.6112
Hg: 0.3603 0.8906 0.3888
Hg: 0.6396 0.6397 0.6112
Sn: 0.3052 0.3052 0.0844
In: 0.7901 0.7902 0.1544
In: 0.7347 0.2099 0.8456
Hg: 0.8906 0.3604 0.3888
Hg: 0.3604 0.3603 0.3888

Output
Total moment in μB per formula unit: 0.00
D(E_F) in states/eV/f.u.: 2.47

two | Material: In3SnHg3
Method: DFT, GGA-PBE
State: relaxed

a = 5.7618 Å, b = 8.6577 Å, c = 8.6577 Å
α = 120.00°, β = 90.00°, γ = 90.00°
Atoms (fractional coordinates):
In: 0.7500 0.4684 0.0951
Hg: 0.2500 0.9582 0.1927
Hg: 0.7500 0.1927 0.2346
In: 0.2500 0.0951 0.6268
Sn: 0.7500 0.3333 0.6667
In: 0.2500 0.5316 0.9049
In: 0.7500 0.9049 0.3732
In: 0.7500 0.6268 0.5316
Sn: 0.2500 0.6667 0.3333
Hg: 0.7500 0.7654 0.9582
Hg: 0.7500 0.0418 0.8073
Hg: 0.2500 0.2346 0.0418
In: 0.2500 0.3732 0.4684
Hg: 0.2500 0.8073 0.7654

Output
Total moment in μB per formula unit: 0.00
D(E_F) in states/eV/f.u.: 3.51

Which structure loses on stability? one does.

one | Material: In4Sn4Hg
Method: DFT, GGA-PBE
State: relaxed

a = 4.8638 Å, b = 7.5097 Å, c = 7.5097 Å
α = 83.98°, β = 71.11°, γ = 71.11°
Atoms (fractional coordinates):
In: 0.4999 0.8300 0.6702
Sn: 0.8335 0.8329 0.0002
In: 0.8299 0.1702 0.6700
Sn: 0.1665 0.1671 0.9998
Hg: 0.5000 0.5000 0.0000
Sn: 0.8337 0.4998 0.3329
In: 0.1701 0.8298 0.3300
In: 0.5001 0.1700 0.3298
Sn: 0.1663 0.5002 0.6671

Output
Total moment in μB per formula unit: 0.00
D(E_F) in states/eV/f.u.: 3.66

two | Material: In4Sn4Hg
Method: DFT, GGA-PBE
State: relaxed

a = 6.9612 Å, b = 6.9612 Å, c = 11.1359 Å
α = 90.00°, β = 90.00°, γ = 90.00°
Atoms (fractional coordinates):
In: 0.5000 0.7401 0.2398
In: 0.2401 0.0000 0.7398
In: 0.0000 0.7599 0.2602
Sn: 0.5000 0.2182 0.9407
Sn: 0.0000 0.7182 0.5593
In: 0.7599 0.0000 0.7398
Sn: 0.7182 0.0000 0.4407
In: 0.0000 0.2401 0.2602
Sn: 0.7818 0.5000 0.0593
In: 0.2599 0.5000 0.7602
In: 0.5000 0.2599 0.2398
Hg: 0.0000 0.0000 0.0000
Sn: 0.2818 0.0000 0.4407
Hg: 0.5000 0.5000 0.5000
In: 0.7401 0.5000 0.7602
Sn: 0.5000 0.7818 0.9407
Sn: 0.0000 0.2818 0.5593
Sn: 0.2182 0.5000 0.0593

Output
Total moment in μB per formula unit: 0.00
D(E_F) in states/eV/f.u.: 4.79

Which structure loses on stability? two does.

one | Material: In3Sn3Hg
Method: DFT, GGA-PBE
State: relaxed

a = 4.9525 Å, b = 10.1402 Å, c = 11.3949 Å
α = 116.69°, β = 90.00°, γ = 90.00°
Atoms (fractional coordinates):
Sn: 0.7500 0.6302 0.9251
Sn: 0.2500 0.6057 0.5493
In: 0.2500 0.6898 0.0647
Hg: 0.2500 0.6499 0.3106
Sn: 0.7500 0.3943 0.4507
Sn: 0.2500 0.3698 0.0749
Sn: 0.2500 0.9796 0.2937
In: 0.2500 0.9315 0.5519
In: 0.7500 0.7294 0.7220
In: 0.2500 0.2706 0.2780
In: 0.7500 0.0685 0.4481
In: 0.7500 0.3102 0.9353
Hg: 0.7500 0.3501 0.6894
Sn: 0.7500 0.0204 0.7063

Output
Total moment in μB per formula unit: 0.00
D(E_F) in states/eV/f.u.: 3.04

two | Material: In3Sn3Hg
Method: DFT, GGA-PBE
State: relaxed

a = 8.1724 Å, b = 8.1724 Å, c = 8.1724 Å
α = 90.00°, β = 90.00°, γ = 90.00°
Atoms (fractional coordinates):
In: 0.5000 0.7500 0.0000
In: 0.2500 0.0000 0.5000
In: 0.0000 0.5000 0.2500
Sn: 0.5000 0.0000 0.2500
In: 0.0000 0.5000 0.7500
In: 0.5000 0.2500 0.0000
Sn: 0.2500 0.5000 0.0000
Sn: 0.7500 0.5000 0.0000
Sn: 0.5000 0.0000 0.7500
In: 0.7500 0.0000 0.5000
Sn: 0.0000 0.7500 0.5000
Sn: 0.0000 0.2500 0.5000
Hg: 0.5000 0.5000 0.5000
Hg: 0.0000 0.0000 0.0000

Output
Total moment in μB per formula unit: 0.00
D(E_F) in states/eV/f.u.: 8.66

three | Material: In3Sn3Hg
Method: DFT, GGA-PBE
State: relaxed

a = 5.5397 Å, b = 8.9112 Å, c = 8.9112 Å
α = 120.00°, β = 90.00°, γ = 90.00°
Atoms (fractional coordinates):
Sn: 0.2500 0.2389 0.0473
In: 0.7500 0.9068 0.3827
Hg: 0.7500 0.3333 0.6667
Sn: 0.7500 0.1916 0.2389
Sn: 0.2500 0.8084 0.7611
In: 0.2500 0.3827 0.4760
Sn: 0.7500 0.7611 0.9527
In: 0.7500 0.6173 0.5240
In: 0.7500 0.4760 0.0932
In: 0.2500 0.5240 0.9068
Sn: 0.7500 0.0473 0.8084
Hg: 0.2500 0.6667 0.3333
Sn: 0.2500 0.9527 0.1916
In: 0.2500 0.0932 0.6173

Output
Total moment in μB per formula unit: 0.00
D(E_F) in states/eV/f.u.: 3.46

Which structure loses on stability? two does.

one | Material: InSnHg
Method: DFT, GGA-PBE
State: relaxed

a = 5.0464 Å, b = 5.0464 Å, c = 5.0464 Å
α = 60.00°, β = 60.00°, γ = 60.00°
Atoms (fractional coordinates):
In: 0.5000 0.5000 0.5000
Hg: 0.0000 0.0000 0.0000
Sn: 0.2500 0.2500 0.2500

Output
Total moment in μB per formula unit: 0.00
D(E_F) in states/eV/f.u.: 2.16

two | Material: InSnHg
Method: DFT, GGA-PBE
State: relaxed

a = 4.3566 Å, b = 4.3566 Å, c = 9.5469 Å
α = 105.77°, β = 105.77°, γ = 88.80°
Atoms (fractional coordinates):
Hg: 0.3273 0.3273 0.6818
Sn: 0.7579 0.7579 0.0122
Sn: 0.2421 0.2421 0.9878
In: 0.1895 0.1895 0.3396
Hg: 0.6727 0.6727 0.3182
In: 0.8105 0.8105 0.6604

Output
Total moment in μB per formula unit: 0.00
D(E_F) in states/eV/f.u.: 1.26

Which structure loses on stability? one does.

one | Material: InSnHg
Method: DFT, GGA-PBE
State: relaxed

a = 3.4504 Å, b = 3.4504 Å, c = 7.0907 Å
α = 104.08°, β = 104.08°, γ = 90.00°
Atoms (fractional coordinates):
In: 0.0027 0.0027 0.0053
Sn: 0.3316 0.3316 0.6632
Hg: 0.6657 0.6657 0.3314

Output
Total moment in μB per formula unit: 0.00
D(E_F) in states/eV/f.u.: 1.08

two | Material: InSnHg
Method: DFT, GGA-PBE
State: relaxed

a = 3.7498 Å, b = 3.7498 Å, c = 11.5578 Å
α = 90.00°, β = 90.00°, γ = 90.00°
Atoms (fractional coordinates):
In: 0.0000 0.5000 0.2449
Hg: 0.0000 0.5000 0.9199
Sn: 0.5000 0.0000 0.4215
In: 0.5000 0.0000 0.7551
Sn: 0.0000 0.5000 0.5785
Hg: 0.5000 0.0000 0.0801

Output
Total moment in μB per formula unit: 0.00
D(E_F) in states/eV/f.u.: 1.30

Which structure loses on stability? one does.

one | Material: In12Sn2Hg5
Method: DFT, GGA-PBE
State: relaxed

a = 9.0311 Å, b = 9.3905 Å, c = 8.0289 Å
α = 114.75°, β = 90.00°, γ = 118.74°
Atoms (fractional coordinates):
Hg: 0.1626 0.3252 0.8875
Hg: 0.0000 0.0000 0.5000
In: 0.7788 0.1685 0.4520
In: 0.4693 0.4408 0.1857
Hg: 0.8374 0.6748 0.1125
In: 0.0707 0.1414 0.2069
In: 0.5307 0.5592 0.8143
Hg: 0.7418 0.4837 0.4561
In: 0.9715 0.4408 0.1857
In: 0.3897 0.1685 0.4520
In: 0.6103 0.8315 0.5480
In: 0.6118 0.2237 0.8232
Hg: 0.2582 0.5163 0.5439
In: 0.2212 0.8315 0.5480
In: 0.3882 0.7763 0.1768
In: 0.0285 0.5592 0.8143
Sn: 0.3206 0.0000 0.0000
In: 0.9293 0.8586 0.7931
Sn: 0.6794 0.0000 0.0000

Output
Total moment in μB per formula unit: 0.00
D(E_F) in states/eV/f.u.: 8.81

two | Material: In12Sn2Hg5
Method: DFT, GGA-PBE
State: relaxed

a = 8.0821 Å, b = 8.1691 Å, c = 9.4506 Å
α = 72.17°, β = 115.31°, γ = 90.00°
Atoms (fractional coordinates):
In: 0.0999 0.1885 0.6224
Hg: 0.7855 0.4636 0.5711
In: 0.5097 0.2182 0.0193
In: 0.9001 0.8115 0.3776
In: 0.5943 0.5258 0.7755
In: 0.1812 0.5258 0.7755
Sn: 0.1971 0.0000 0.0000
In: 0.1282 0.1372 0.2564
Sn: 0.8029 0.0000 0.0000
In: 0.4057 0.4742 0.2245
In: 0.5225 0.1885 0.6224
Hg: 0.0000 0.5000 0.0000
Hg: 0.3046 0.8733 0.6092
In: 0.4775 0.8115 0.3776
In: 0.8718 0.8628 0.7436
In: 0.8188 0.4742 0.2245
In: 0.4903 0.7818 0.9807
Hg: 0.2145 0.5364 0.4289
Hg: 0.6954 0.1267 0.3908

Output
Total moment in μB per formula unit: 0.00
D(E_F) in states/eV/f.u.: 7.14

Which structure loses on stability? two does.